This record from Alexandria via LeMat-Bulk describes a relaxed structure of Mg2ZnSnRh. The functional is PBE-GGA.

Computed properties:
- energy of formation (eV/atom) = -0.231

a b c (Å): 7.105 7.105 7.105
angles (deg): 154.16 141.69 46.79
Atoms (fractional coordinates):
Mg (0.000, 0.000, 0.000)
Mg (0.343, 0.343, 0.000)
Zn (0.557, 0.557, 0.000)
Sn (0.766, 0.766, 0.000)
Rh (0.165, 0.665, 0.500)